Record 1
Here is crystalline TlWSe2 at its relaxed geometry from Alexandria. Energies are from PBE.

The space group is Pm (No. 6) and the conventional cell measures 3.426, 4.164 and 7.977 Å, with angles of 90.00, 102.39 and 90.00 degrees. The inequivalent atoms are Tl at (0.000, 0.000, 0.000), W at (0.765, 0.500, 0.526), Se at (0.379, 0.500, 0.755) and Se at (0.686, 0.000, 0.372).

The total energy is -21.80 eV per cell. The value obtained for the energy relative to the lowest polymorph listed for this composition is 0.326 eV/atom.

Record 2
Here is crystalline LaDy2Hf at its relaxed geometry from Alexandria. Energies are from PBE.

The space group is R-3m (No. 166, hexagonal axes) and the conventional cell measures 3.3675, 3.3675 and 36.4204 Å, with angles of 90.00, 90.00 and 120.00 degrees. The inequivalent atoms are La at (0.0000, 0.0000, 0.0000), Dy at (0.0000, 0.0000, 0.4150) and Hf at (0.0000, 0.0000, 0.5000).

The value obtained for the energy relative to the elements is 0.39 eV/atom. The total energy is -67.52 eV per cell. The value obtained for the energy relative to the lowest polymorph listed for this composition is 0.271 eV/atom.